(1)
## TeSeCl2 (PBE)

Data for TeSeCl2 after structural relaxation.

## Properties
Formation energy from raw total energies in eV/atom: 0.088
Energy above the most stable polymorph in this dataset in meV per atom: 400
DOS at the Fermi energy in states/eV/cell: 6.0

Lattice parameters (Å, degrees): 3.492 4.831 14.662 90.00 90.00 90.00
Space group Immm (No. 71)
Asymmetric unit:
Te  0.000  0.000  0.000 (multiplicity 2)
Se  0.000  0.000  0.500 (multiplicity 2)
Cl  0.000  0.500  0.352 (multiplicity 4)

***

(2)
## TeSeCl2 (PBE)

Data for TeSeCl2 after structural relaxation.

## Properties
Formation energy from raw total energies in eV/atom: 0.404
Energy above the most stable polymorph in this dataset in meV per atom: 716
DOS at the Fermi energy in states/eV/cell: 7.3

Lattice parameters (Å, degrees): 6.232 8.985 3.171 90.00 90.00 90.00
Space group Cmmm (No. 65)
Asymmetric unit:
Te  0.000  0.000  0.000 (multiplicity 2)
Se  0.000  0.500  0.000 (multiplicity 2)
Cl  0.250  0.250  0.500 (multiplicity 4)

***

(3)
## Te2Se3Cl (PBE)

Data for Te2Se3Cl after structural relaxation.

## Properties
Formation energy from raw total energies in eV/atom: -0.107

Lattice parameters (Å, degrees): 4.065 8.413 11.769 93.20 92.92 94.52
Space group P-1 (No. 2)
Asymmetric unit:
Te  0.157  0.327  0.412 (multiplicity 2)
Te  0.229  0.932  0.861 (multiplicity 2)
Se  0.241  0.621  0.396 (multiplicity 2)
Se  0.245  0.835  0.077 (multiplicity 2)
Se  0.333  0.302  0.184 (multiplicity 2)
Cl  0.223  0.016  0.647 (multiplicity 2)

***

(4)
## TeSe4Cl (PBE)

Data for TeSe4Cl after structural relaxation.

## Properties
Formation energy from raw total energies in eV/atom: 0.504
DOS at the Fermi energy in states/eV/cell: 22.4

Lattice parameters (Å, degrees): 8.169 8.169 8.169 90.00 90.00 90.00
Space group F-43m (No. 216)
Asymmetric unit:
Te  0.000  0.000  0.000 (multiplicity 4)
Se  0.133  0.133  0.367 (multiplicity 16)
Cl  0.250  0.250  0.750 (multiplicity 4)

***

(5)
## TeSeCl2 (PBE)

Data for TeSeCl2 after structural relaxation.

## Properties
Formation energy from raw total energies in eV/atom: 0.021
Energy above the most stable polymorph in this dataset in meV per atom: 333
DOS at the Fermi energy in states/eV/cell: 7.2

Lattice parameters (Å, degrees): 4.119 8.886 7.779 90.00 90.00 90.00
Space group Cmm2 (No. 35)
Asymmetric unit:
Te  0.000  0.000  0.000 (multiplicity 2)
Se  0.000  0.500  0.780 (multiplicity 2)
Cl  0.000  0.000  0.560 (multiplicity 2)
Cl  0.000  0.500  0.236 (multiplicity 2)

***

(6)
## TeSeCl2 (PBE)

Data for TeSeCl2 after structural relaxation.

## Properties
Formation energy from raw total energies in eV/atom: 0.227
Energy above the most stable polymorph in this dataset in meV per atom: 539
DOS at the Fermi energy in states/eV/cell: 5.7

Lattice parameters (Å, degrees): 3.410 6.058 10.292 90.00 90.00 90.00
Space group Cmmm (No. 65)
Asymmetric unit:
Te  0.000  0.000  0.000 (multiplicity 2)
Se  0.000  0.000  0.500 (multiplicity 2)
Cl  0.000  0.500  0.197 (multiplicity 4)